(1)
# Ba3InHg, relaxed, DFT PBEsol
# total magnetic moment = 0.714 μB/f.u.
# V = 286.84 Å³/cell
# uncorrected energy = -1.924 eV/atom
data_Ba3InHg
_symmetry_space_group_name_H-M 'P m -3 m'
_symmetry_Int_Tables_number 221
_symmetry_space_group_name_Hall '-P 4 2 3'
_cell_length_a 6.595
_cell_length_b 6.595
_cell_length_c 6.595
_cell_angle_alpha 90.00
_cell_angle_beta 90.00
_cell_angle_gamma 90.00
loop_
_atom_site_label
_atom_site_fract_x
_atom_site_fract_y
_atom_site_fract_z
Ba1 0.000 0.000 0.500
In1 0.000 0.000 0.000
Hg1 0.500 0.500 0.500



(2)
# Ba3InHg10, relaxed, DFT PBEsol
# total magnetic moment = 0.000 μB/f.u.
# V = 764.98 Å³/cell
# uncorrected energy = -1.527 eV/atom
data_Ba3InHg10
_symmetry_space_group_name_H-M 'I m m m'
_symmetry_Int_Tables_number 71
_symmetry_space_group_name_Hall '-I 2 2'
_cell_length_a 5.146
_cell_length_b 9.959
_cell_length_c 14.927
_cell_angle_alpha 90.00
_cell_angle_beta 90.00
_cell_angle_gamma 90.00
loop_
_atom_site_label
_atom_site_fract_x
_atom_site_fract_y
_atom_site_fract_z
Ba1 0.000 0.000 0.000
Ba2 0.000 0.000 0.298
In1 0.000 0.500 0.000
Hg1 0.000 0.182 0.500
Hg2 0.000 0.287 0.141
Hg3 0.000 0.357 0.339



(3)
# BaInHg, relaxed, DFT PBEsol
# total magnetic moment = 0.000 μB/f.u.
# V = 93.28 Å³/cell
# uncorrected energy = -2.408 eV/atom
data_BaInHg
_symmetry_space_group_name_H-M 'P -6 m 2'
_symmetry_Int_Tables_number 187
_symmetry_space_group_name_Hall 'P -6 2'
_cell_length_a 5.1278
_cell_length_b 5.1278
_cell_length_c 4.0964
_cell_angle_alpha 90.00
_cell_angle_beta 90.00
_cell_angle_gamma 120.00
loop_
_atom_site_label
_atom_site_fract_x
_atom_site_fract_y
_atom_site_fract_z
Ba1 0.0000 0.0000 0.0000
In1 0.6667 0.3333 0.5000
Hg1 0.3333 0.6667 0.5000



(4)
# BaInHg2, relaxed, DFT PBEsol
# total magnetic moment = 0.000 μB/f.u.
# V = 222.13 Å³/cell
# uncorrected energy = -1.909 eV/atom
data_BaInHg2
_symmetry_space_group_name_H-M 'I -4 m 2'
_symmetry_Int_Tables_number 119
_symmetry_space_group_name_Hall 'I -4 -2'
_cell_length_a 5.381
_cell_length_b 5.381
_cell_length_c 7.672
_cell_angle_alpha 90.00
_cell_angle_beta 90.00
_cell_angle_gamma 90.00
loop_
_atom_site_label
_atom_site_fract_x
_atom_site_fract_y
_atom_site_fract_z
Ba1 0.000 0.000 0.000
In1 0.000 0.500 0.250
Hg1 0.000 0.000 0.500
Hg2 0.000 0.500 0.750



(5)
# BaIn2Hg, relaxed, DFT PBEsol
# total magnetic moment = 0.000 μB/f.u.
# V = 370.62 Å³/cell
# uncorrected energy = -2.540 eV/atom
data_BaIn2Hg
_symmetry_space_group_name_H-M 'R -3 m'
_symmetry_Int_Tables_number 166
_symmetry_space_group_name_Hall '-R 3 2"'
_cell_length_a 4.7941
_cell_length_b 4.7941
_cell_length_c 18.6207
_cell_angle_alpha 90.00
_cell_angle_beta 90.00
_cell_angle_gamma 120.00
loop_
_atom_site_label
_atom_site_fract_x
_atom_site_fract_y
_atom_site_fract_z
Ba1 0.0000 0.0000 0.0000
In1 0.0000 0.0000 0.2171
Hg1 0.0000 0.0000 0.5000



(6)
# BaInHg4, relaxed, DFT PBEsol
# total magnetic moment = 0.000 μB/f.u.
# V = 644.96 Å³/cell
# uncorrected energy = -1.524 eV/atom
data_BaInHg4
_symmetry_space_group_name_H-M 'F -4 3 m'
_symmetry_Int_Tables_number 216
_symmetry_space_group_name_Hall 'F -4 2 3'
_cell_length_a 8.640
_cell_length_b 8.640
_cell_length_c 8.640
_cell_angle_alpha 90.00
_cell_angle_beta 90.00
_cell_angle_gamma 90.00
loop_
_atom_site_label
_atom_site_fract_x
_atom_site_fract_y
_atom_site_fract_z
Ba1 0.000 0.000 0.000
In1 0.250 0.250 0.750
Hg1 0.124 0.124 0.376



(7)
# BaIn2Hg, relaxed, DFT PBEsol
# total magnetic moment = 0.000 μB/f.u.
# V = 371.18 Å³/cell
# uncorrected energy = -2.556 eV/atom
data_BaIn2Hg
_symmetry_space_group_name_H-M 'R 3 m'
_symmetry_Int_Tables_number 160
_symmetry_space_group_name_Hall 'R 3 -2"'
_cell_length_a 4.8538
_cell_length_b 4.8538
_cell_length_c 18.1929
_cell_angle_alpha 90.00
_cell_angle_beta 90.00
_cell_angle_gamma 120.00
loop_
_atom_site_label
_atom_site_fract_x
_atom_site_fract_y
_atom_site_fract_z
Ba1 0.0000 0.0000 0.0000
In1 0.0000 0.0000 0.2149
In2 0.0000 0.0000 0.4986
Hg1 0.0000 0.0000 0.7726



(8)
# BaInHg2, relaxed, DFT PBEsol
# total magnetic moment = 0.000 μB/f.u.
# V = 238.77 Å³/cell
# uncorrected energy = -1.990 eV/atom
data_BaInHg2
_symmetry_space_group_name_H-M 'C 1 2/m 1'
_symmetry_Int_Tables_number 12
_symmetry_space_group_name_Hall '-C 2y'
_cell_length_a 8.557
_cell_length_b 4.932
_cell_length_c 6.334
_cell_angle_alpha 90.00
_cell_angle_beta 116.72
_cell_angle_gamma 90.00
loop_
_atom_site_label
_atom_site_fract_x
_atom_site_fract_y
_atom_site_fract_z
Ba1 0.000 0.000 0.000
In1 0.000 0.500 0.500
Hg1 0.220 0.000 0.661



(9)
# BaZn2InHg, relaxed, DFT PBEsol
# total magnetic moment = 0.002 μB/f.u.
# V = 239.44 Å³/cell
# uncorrected energy = -0.856 eV/atom
data_BaZn2InHg
_symmetry_space_group_name_H-M 'P 4/m m m'
_symmetry_Int_Tables_number 123
_symmetry_space_group_name_Hall '-P 4 2'
_cell_length_a 6.069
_cell_length_b 6.069
_cell_length_c 6.502
_cell_angle_alpha 90.00
_cell_angle_beta 90.00
_cell_angle_gamma 90.00
loop_
_atom_site_label
_atom_site_fract_x
_atom_site_fract_y
_atom_site_fract_z
Ba1 0.000 0.000 0.000
Zn1 0.000 0.500 0.000
In1 0.000 0.000 0.500
Hg1 0.500 0.500 0.500



(10)
# BaHgIr3, relaxed, DFT PBEsol
# total magnetic moment = 0.575 μB/f.u.
# V = 127.66 Å³/cell
# uncorrected energy = -3.547 eV/atom
data_BaHgIr3
_symmetry_space_group_name_H-M 'P m -3 m'
_symmetry_Int_Tables_number 221
_symmetry_space_group_name_Hall '-P 4 2 3'
_cell_length_a 5.035
_cell_length_b 5.035
_cell_length_c 5.035
_cell_angle_alpha 90.00
_cell_angle_beta 90.00
_cell_angle_gamma 90.00
loop_
_atom_site_label
_atom_site_fract_x
_atom_site_fract_y
_atom_site_fract_z
Ba1 0.000 0.000 0.000
Hg1 0.500 0.500 0.500
Ir1 0.000 0.000 0.500



(11)
# Ba2HgIr, relaxed, DFT PBEsol
# total magnetic moment = 0.000 μB/f.u.
# V = 419.96 Å³/cell
# uncorrected energy = -3.723 eV/atom
data_Ba2HgIr
_symmetry_space_group_name_H-M 'R -3 m'
_symmetry_Int_Tables_number 166
_symmetry_space_group_name_Hall '-R 3 2"'
_cell_length_a 4.4715
_cell_length_b 4.4715
_cell_length_c 24.2536
_cell_angle_alpha 90.00
_cell_angle_beta 90.00
_cell_angle_gamma 120.00
loop_
_atom_site_label
_atom_site_fract_x
_atom_site_fract_y
_atom_site_fract_z
Ba1 0.0000 0.0000 0.2330
Hg1 0.0000 0.0000 0.0000
Ir1 0.0000 0.0000 0.5000



(12)
# Ba2HgIr, relaxed, DFT PBEsol
# total magnetic moment = 0.000 μB/f.u.
# V = 417.30 Å³/cell
# uncorrected energy = -3.579 eV/atom
data_Ba2HgIr
_symmetry_space_group_name_H-M 'F -4 3 m'
_symmetry_Int_Tables_number 216
_symmetry_space_group_name_Hall 'F -4 2 3'
_cell_length_a 7.473
_cell_length_b 7.473
_cell_length_c 7.473
_cell_angle_alpha 90.00
_cell_angle_beta 90.00
_cell_angle_gamma 90.00
loop_
_atom_site_label
_atom_site_fract_x
_atom_site_fract_y
_atom_site_fract_z
Ba1 0.000 0.000 0.000
Ba2 0.250 0.250 0.250
Hg1 0.000 0.000 0.500
Ir1 0.250 0.250 0.750



no.,energy of formation (eV/atom)
1,0.08
2,-0.45
3,-0.51
4,-0.34
5,-0.37
6,-0.29
7,-0.39
8,-0.42
9,0.92
10,2.89
11,-0.05
12,0.09